An optimized crystal structure of GdPu, computed with PBE.

**Energy above the most stable polymorph in this dataset**: 0 meV per atom
**Calculated volume**: 29.71 Å³/atom

Cell lengths 3.4687, 3.4687, 5.7021 Å; angles 90.00, 90.00, 120.00 degrees
Closest atoms and distances in Å follow each position.
Space group P-6m2 (No. 187)
Inequivalent atoms, fractional coordinates:
Gd 0.0000 0.0000 0.0000  6 Gd 3.47, 6 Pu 3.48
Pu 0.6667 0.3333 0.5000  6 Pu 3.47, 6 Gd 3.48

=====

An optimized crystal structure of GdPu, computed with PBE.

**Energy above the most stable polymorph in this dataset**: 646 meV per atom
**Calculated volume**: 32.55 Å³/atom

Cell lengths 6.3855, 6.3855, 6.3855 Å; angles 90.00, 90.00, 90.00 degrees
Closest atoms and distances in Å follow each position.
Space group Fm-3m (No. 225)
Inequivalent atoms, fractional coordinates:
Gd 0.0000 0.0000 0.0000  6 Pu 3.19
Pu 0.0000 0.0000 0.5000  6 Gd 3.19

=====

Which value of energy above the most stable polymorph in this dataset does entry 2 give?
646 meV per atom

=====

The lowest calculated volume belongs to which entry?
number 1

=====

Repeat the first record exactly.
An optimized crystal structure of GdPu, computed with PBE.

**Energy above the most stable polymorph in this dataset**: 0 meV per atom
**Calculated volume**: 29.71 Å³/atom

Cell lengths 3.4687, 3.4687, 5.7021 Å; angles 90.00, 90.00, 120.00 degrees
Closest atoms and distances in Å follow each position.
Space group P-6m2 (No. 187)
Inequivalent atoms, fractional coordinates:
Gd 0.0000 0.0000 0.0000  6 Gd 3.47, 6 Pu 3.48
Pu 0.6667 0.3333 0.5000  6 Pu 3.47, 6 Gd 3.48

=====

Please write out number 2 again, unchanged.
An optimized crystal structure of GdPu, computed with PBE.

**Energy above the most stable polymorph in this dataset**: 646 meV per atom
**Calculated volume**: 32.55 Å³/atom

Cell lengths 6.3855, 6.3855, 6.3855 Å; angles 90.00, 90.00, 90.00 degrees
Closest atoms and distances in Å follow each position.
Space group Fm-3m (No. 225)
Inequivalent atoms, fractional coordinates:
Gd 0.0000 0.0000 0.0000  6 Pu 3.19
Pu 0.0000 0.0000 0.5000  6 Gd 3.19